# HfZrHOs2 | Alexandria via LeMat-Bulk | PBE-GGA | relaxed
data_HfZrHOs2
_cell_length_a 4.396
_cell_length_b 4.396
_cell_length_c 3.761
_cell_angle_alpha 90.00
_cell_angle_beta 90.00
_cell_angle_gamma 90.00
_symmetry_space_group_name_H-M 'P 4/m m m'
_symmetry_Int_Tables_number 123
_symmetry_space_group_name_Hall '-P 4 2'
loop_
_atom_site_label
_atom_site_fract_x
_atom_site_fract_y
_atom_site_fract_z
Hf1 0.000 0.000 0.000
Zr1 0.500 0.500 0.000
H1 0.500 0.500 0.500
Os1 0.000 0.500 0.500
# total energy: -9.045 eV/atom
# D(E_F): 2.63 states/eV/f.u.
# M_tot: 0.000 μB per atom